Record 1
Material: LiPaCdS4
Method: DFT, PBE
State: optimized geometry

Summary:
Formation energy (no corrections) = -1.22 eV per atom
E = -5.34 eV per atom

Lattice parameters (Å, degrees): 7.7941 7.7941 7.7941 120.66 117.00 92.07
With the nearest neighbours (Å) after each atom.
Sites, in units of the cell vectors:
Li: 0.3995 0.1495 0.2500  4 S 2.50-2.57
Li: 0.6005 0.8505 0.7500  4 S 2.50-2.57
Pa: 0.0000 0.5000 0.5000  6 S 2.62-2.69
Pa: 0.5000 0.5000 0.0000  6 S 2.62-2.69
Cd: 0.0000 0.0000 0.5000  6 S 2.68-2.88
Cd: 0.0000 0.5000 0.0000  6 S 2.68-2.88
S: 0.2206 0.7419 0.4787  1 Li 2.50, 1 Pa 2.62, 2 Cd 2.68
S: 0.2368 0.2581 0.9787  1 Li 2.50, 1 Pa 2.62, 2 Cd 2.68
S: 0.2652 0.2893 0.5242  1 Li 2.57, 2 Pa 2.69
S: 0.2652 0.7410 0.9758  1 Li 2.57, 2 Pa 2.69
S: 0.7348 0.2590 0.0242  1 Li 2.57, 2 Pa 2.69
S: 0.7348 0.7107 0.4758  1 Li 2.57, 2 Pa 2.69
S: 0.7632 0.7419 0.0213  1 Li 2.50, 1 Pa 2.62, 2 Cd 2.68
S: 0.7794 0.2581 0.5213  1 Li 2.50, 1 Pa 2.62, 2 Cd 2.68

Record 2
Material: Li2PaCdS4
Method: DFT, PBE
State: optimized geometry

Summary:
Formation energy (no corrections) = -1.23 eV per atom
E = -5.07 eV per atom

Lattice parameters (Å, degrees): 6.6214 3.8764 6.6581 90.00 109.68 90.00
With the nearest neighbours (Å) after each atom.
Sites, in units of the cell vectors:
Li: 0.0000 0.0000 0.0000  6 S 2.62-2.73
Li: 0.5000 0.5000 0.0000  6 S 2.70-2.73
Pa: 0.0000 0.5000 0.5000  6 S 2.70-2.74
Cd: 0.5000 0.0000 0.5000  6 S 2.72-2.80
S: 0.2454 0.0000 0.7620  3 Li 2.62-2.70, 2 Pa 2.74, 1 Cd 2.80
S: 0.2498 0.5000 0.2522  1 Pa 2.70, 2 Cd 2.72, 3 Li 2.73
S: 0.7502 0.5000 0.7478  1 Pa 2.70, 2 Cd 2.72, 3 Li 2.73
S: 0.7546 0.0000 0.2380  3 Li 2.62-2.70, 2 Pa 2.74, 1 Cd 2.80

Record 3
Material: Li4Pa3CdTe8
Method: DFT, PBE
State: optimized geometry

Summary:
Formation energy (no corrections) = -0.78 eV per atom
E = -4.67 eV per atom

Lattice parameters (Å, degrees): 8.7185 8.7185 8.7185 58.86 58.86 58.86
With the nearest neighbours (Å) after each atom.
Sites, in units of the cell vectors:
Li: 0.0000 0.0000 0.0000  6 Te 3.03
Li: 0.0000 0.5000 0.5000  6 Te 3.00-3.01
Li: 0.5000 0.0000 0.5000  6 Te 3.00-3.01
Li: 0.5000 0.5000 0.0000  6 Te 3.00-3.01
Pa: 0.0000 0.0000 0.5000  6 Te 3.11-3.12
Pa: 0.0000 0.5000 0.0000  6 Te 3.11-3.12
Pa: 0.5000 0.0000 0.0000  6 Te 3.11-3.12
Cd: 0.5000 0.5000 0.5000  6 Te 3.08
Te: 0.2482 0.2482 0.7439  3 Li 3.01-3.03, 1 Cd 3.08, 2 Pa 3.11
Te: 0.2482 0.7439 0.2482  3 Li 3.01-3.03, 1 Cd 3.08, 2 Pa 3.11
Te: 0.2546 0.2546 0.2546  3 Li 3.00, 3 Pa 3.12
Te: 0.2561 0.7518 0.7518  3 Li 3.01-3.03, 1 Cd 3.08, 2 Pa 3.11
Te: 0.7439 0.2482 0.2482  3 Li 3.01-3.03, 1 Cd 3.08, 2 Pa 3.11
Te: 0.7454 0.7454 0.7454  3 Li 3.00, 3 Pa 3.12
Te: 0.7518 0.2561 0.7518  3 Li 3.01-3.03, 1 Cd 3.08, 2 Pa 3.11
Te: 0.7518 0.7518 0.2561  3 Li 3.01-3.03, 1 Cd 3.08, 2 Pa 3.11

Record 4
Material: LiPaTlCd
Method: DFT, PBE
State: optimized geometry

Summary:
E = -3.53 eV per atom
E_form = 0.140 eV per atom

Lattice parameters (Å, degrees): 5.1517 5.1517 5.1517 60.00 60.00 60.00
With the nearest neighbours (Å) after each atom.
Sites, in units of the cell vectors:
Li: 0.0000 0.0000 0.0000  4 Tl 3.15, 4 Cd 3.15
Pa: 0.5000 0.5000 0.5000  4 Tl 3.15, 4 Cd 3.15
Tl: 0.7500 0.7500 0.7500  4 Li 3.15, 4 Pa 3.15
Cd: 0.2500 0.2500 0.2500  4 Pa 3.15, 4 Li 3.15

Question: Which value of E does entry 4 give?
Answer: -3.53 eV per atom